[1]
# La5Au

An optimized crystal structure of La5Au (GGA-PBEsol, the Alexandria database).

```
La5Au
1.0
6.182 -1.851 0.000
6.182 1.851 0.000
-2.790 0.000 8.159
La Au
5 1
Cartesian
0.000 0.000 0.000
-1.038 0.000 3.322
2.750 0.000 5.296
6.133 0.000 6.434
8.174 0.000 2.291
3.740 0.000 0.541
```

polymorph energy (0 for the lowest one) = 0.012 eV per atom



[2]
# LaAu2

An optimized crystal structure of LaAu2 (GGA-PBEsol, the Alexandria database).

```
LaAu2
1.0
1.953 -7.038 0.000
1.953 7.038 0.000
0.000 0.000 5.053
La Au
2 4
Cartesian
1.953 5.531 3.790
1.953 -5.531 1.263
1.953 3.865 1.263
1.953 0.912 3.790
1.953 -0.912 1.263
1.953 -3.865 3.790
```



[3]
# La3Au

An optimized crystal structure of La3Au (GGA-PBEsol, the Alexandria database).

```
La3Au
1.0
7.193 0.000 0.000
0.000 10.524 0.000
0.000 0.000 6.517
La Au
12 4
Cartesian
0.129 2.631 0.913
1.348 0.509 4.291
1.348 4.753 4.291
2.249 5.771 1.032
2.249 10.015 1.032
3.467 7.893 4.171
3.726 2.631 2.346
4.944 0.509 5.485
4.944 4.753 5.485
5.845 5.771 2.226
5.845 10.015 2.226
7.063 7.893 5.605
0.813 7.893 2.642
2.784 2.631 5.900
4.409 7.893 0.617
6.380 2.631 3.875
```



[4]
# LaAu2

An optimized crystal structure of LaAu2 (GGA-PBEsol, the Alexandria database).

```
LaAu2
1.0
-2.338 3.562 4.116
2.338 -3.562 4.116
2.338 3.562 -4.116
La Au
2 4
Cartesian
0.000 1.781 0.270
2.338 1.781 3.846
2.338 -0.247 1.349
2.338 3.315 -1.349
0.000 0.247 5.465
0.000 3.809 2.768
```



[5]
# La5Au

An optimized crystal structure of La5Au (GGA-PBEsol, the Alexandria database).

```
La5Au
1.0
0.000 4.501 4.501
4.501 0.000 4.501
4.501 4.501 0.000
La Au
5 1
Cartesian
0.000 0.000 0.000
3.389 3.389 3.389
5.613 5.613 3.389
5.613 3.389 5.613
3.389 5.613 5.613
6.752 6.752 6.752
```

polymorph energy (0 for the lowest one) = 0.481 eV per atom



[6]
# LaAu

An optimized crystal structure of LaAu (GGA-PBEsol, the Alexandria database).

```
LaAu
1.0
3.932 0.000 0.000
0.000 4.755 0.000
-1.877 0.000 5.665
La Au
2 2
Cartesian
0.009 1.189 1.542
2.047 3.566 4.123
0.081 1.189 4.692
1.975 3.566 0.973
```



Number 1: ΔH_f (0 K) -0.230 eV per atom, magnetic moment 0.0 μB/cell. Number 2: ΔH_f (0 K) -0.677 eV per atom, magnetic moment 0.0 μB/cell. Number 3: ΔH_f (0 K) -0.386 eV per atom, magnetic moment 0.0 μB/cell. Number 4: ΔH_f (0 K) -0.789 eV per atom, magnetic moment 0.0 μB/cell. Number 5: ΔH_f (0 K) 0.238 eV per atom, magnetic moment 0.0 μB/cell. Number 6: ΔH_f (0 K) -0.791 eV per atom, magnetic moment 0.0 μB/cell.